Zr2TaS6 | PBE | optimized geometry

Computed properties:
Formation energy (no corrections) ... -1.205 eV per atom
Space group ... P2_1/c (14)
Offset from the most stable computed form ... 125.8 meV/atom

Cell and atoms, written as extended XYZ:
```
18
Lattice="6.073 0.000 0.036 0.000 6.460 0.000 -0.700 0.000 9.218" Properties=species:S:1:pos:R:3 pbc="T T T"
Zr 5.161 2.429 7.104
Zr 2.898 5.659 6.778
Zr 2.475 0.801 2.477
Zr 0.212 4.031 2.150
Ta 3.036 3.230 0.018
Ta -0.350 0.000 4.609
S 4.832 6.108 2.405
S 4.644 4.347 5.389
S 4.394 4.434 8.618
S 3.666 1.204 5.263
S 3.416 1.117 8.492
S 3.927 2.878 2.259
S 0.541 0.352 6.850
S 0.729 2.113 3.865
S 0.979 2.026 0.636
S 1.707 5.256 3.991
S 1.957 5.343 0.762
S 1.446 3.582 6.996
```


PmCdCu2 | PBE | optimized geometry

Computed properties:
Space group ... P4/mmm (123)
Energy of formation from the pure elements ... 20 meV per atom

Cell and atoms, written as extended XYZ:
```
4
Lattice="-0.520 -2.921 -1.698 2.931 -2.302 3.062 -3.760 -0.990 2.855" Properties=species:S:1:pos:R:3 pbc="T T T"
Cd -0.675 -3.107 2.110
Cu -1.880 -0.495 1.427
Cu 1.466 -1.151 1.531
Pm -0.260 -1.460 -0.849
```


Pu4TlPt4 | PBE | optimized geometry

Computed properties:
Space group ... I4/m (87)
Energy of formation from the pure elements ... -480 meV per atom

Cell and atoms, written as extended XYZ:
```
18
Lattice="5.667 0.000 0.000 0.000 9.082 0.000 0.000 0.000 9.082" Properties=species:S:1:pos:R:3 pbc="T T T"
Pu 2.834 2.733 8.206
Pu 0.001 5.416 7.275
Pu 2.834 6.348 0.875
Pu 5.667 1.807 5.416
Pu 2.833 8.206 6.348
Pu 5.667 7.275 3.665
Pu 0.001 3.665 1.807
Pu 2.833 0.875 2.733
Tl 0.000 0.000 0.000
Tl 2.834 4.541 4.541
Pt 2.833 7.240 3.602
Pt 2.833 1.841 5.480
Pt 5.667 8.143 6.382
Pt 0.001 2.699 8.143
Pt 0.001 6.382 0.939
Pt 2.834 3.602 1.841
Pt 2.834 5.480 7.240
Pt 5.667 0.939 2.699
```


TbZnIn | PBE | optimized geometry

Computed properties:
Space group ... P-6m2 (187)
Energy of formation from the pure elements ... -432 meV per atom

Cell and atoms, written as extended XYZ:
```
3
Lattice="-2.885 -1.656 -1.424 -1.226 -1.530 4.265 -1.599 4.128 -1.562" Properties=species:S:1:pos:R:3 pbc="T T T"
Zn -1.955 1.966 0.144
Tb -3.274 -0.749 1.373
In -0.481 -0.276 -0.238
```


DFT total energy in eV per atom, matching the order above: -7.17, -3.44, -9.80, -3.31
DOS at the Fermi energy in states/eV/f.u., matching the order above: 5.5, 3.7, 43.8, 1.6